Entry 1:
Entry from Alexandria via LeMat-Bulk: an optimized crystal structure of LiHoTlGa (PBE).

POSCAR file:
```
LiHoTlGa
1.0
0.000 3.536 3.536
3.536 0.000 3.536
3.536 3.536 0.000
Li Ho Tl Ga
1 1 1 1
Cartesian
0.000 0.000 0.000
3.536 3.536 3.536
1.768 1.768 1.768
5.304 5.304 5.304
```

energy: -3.3246 eV per atom
N(E_F): 1.276 states/eV/cell
energy of formation from the pure elements: -0.353 eV per atom


Entry 2:
Entry from Alexandria via LeMat-Bulk: an optimized crystal structure of Li2HoTm2Ga2 (PBE).

POSCAR file:
```
Li2HoTm2Ga2
1.0
2.284 1.319 8.651
-2.284 1.319 8.651
0.000 -2.637 8.651
Li Ho Tm Ga
2 1 2 2
Cartesian
0.000 0.000 2.625
0.000 0.000 23.329
0.000 0.000 12.977
0.000 0.000 9.689
0.000 0.000 16.265
0.000 0.000 6.215
0.000 0.000 19.739
```

energy: -3.6143 eV per atom
N(E_F): 4.589 states/eV/cell
energy of formation from the pure elements: -0.271 eV per atom